Entry 1:
First-principles (PBE) data for a geometry-optimized RePAu2 structure, as listed in Alexandria via LeMat-Bulk.

Cell lengths 2.977, 4.920, 4.710 Å; angles 90.00, 94.81, 90.00 degrees
Fractional positions:
Re  0.000  0.000  0.000
P  0.000  0.000  0.500
Au  0.265  0.500  0.751
Au  0.735  0.500  0.249

Summary:
As for the formation enthalpy at 0 K: 0.58 eV per atom. For the uncorrected energy, the calculation gives -22.1 eV/cell.


Entry 2:
First-principles (PBE) data for a geometry-optimized Re2PAu structure, as listed in Alexandria via LeMat-Bulk.

Cell lengths 5.190, 5.190, 2.897 Å; angles 102.83, 102.83, 117.91 degrees
Fractional positions:
Re  0.000  0.500  0.000
Re  0.500  0.000  0.000
P  0.000  0.000  0.500
Au  0.500  0.500  0.500

Summary:
As for the formation enthalpy at 0 K: 0.76 eV per atom. For the uncorrected energy, the calculation gives -30.5 eV/cell.


- Look up the uncorrected energy of the second one.
  -30.5 eV/cell


- Which of these has the lowest uncorrected energy?
  Re2PAu